[1]
# Cs2HI (PBE, optimized geometry)
# D(E_F), states/eV/cell: 0.00
# Space group: Cmcm, No. 63
# Total DFT energy (no corrections), eV/atom: -2.44
data_Cs2HI
_space_group_name_H-M_alt 'P 1'
_space_group_IT_number 1
_cell_length_a 4.4855
_cell_length_b 8.0356
_cell_length_c 10.3306
_cell_angle_alpha 90.00
_cell_angle_beta 102.54
_cell_angle_gamma 90.00
loop_
_space_group_symop_operation_xyz
'x,y,z'
loop_
_atom_site_label
_atom_site_type_symbol
_atom_site_fract_x
_atom_site_fract_y
_atom_site_fract_z
I1 I 0.1644 0.7500 0.8287
I2 I 0.8356 0.2500 0.1713
Cs1 Cs 0.1829 0.2500 0.8659
Cs2 Cs 0.0000 0.0000 0.5000
Cs3 Cs 0.0000 0.5000 0.5000
Cs4 Cs 0.8171 0.7500 0.1341
H1 H 0.5633 0.2500 0.6267
H2 H 0.4367 0.7500 0.3733

***

[2]
# CsHI4 (PBE, optimized geometry)
# Space group: P-1, No. 2
# Total DFT energy (no corrections), eV/atom: -2.28
data_CsHI4
_space_group_name_H-M_alt 'P 1'
_space_group_IT_number 1
_cell_length_a 11.9176
_cell_length_b 9.7287
_cell_length_c 19.8604
_cell_angle_alpha 115.28
_cell_angle_beta 161.95
_cell_angle_gamma 73.16
loop_
_space_group_symop_operation_xyz
'x,y,z'
loop_
_atom_site_label
_atom_site_type_symbol
_atom_site_fract_x
_atom_site_fract_y
_atom_site_fract_z
I1 I 0.9527 0.8185 0.2457
I2 I 0.5725 0.7651 0.8822
I3 I 0.1474 0.7088 0.9874
I4 I 0.4275 0.2349 0.1178
I5 I 0.8034 0.2860 0.4781
I6 I 0.8526 0.2912 0.0126
I7 I 0.1966 0.7140 0.5219
I8 I 0.0473 0.1815 0.7543
Cs1 Cs 0.2137 0.2643 0.4077
Cs2 Cs 0.7863 0.7357 0.5923
H1 H 0.5686 0.6966 0.1975
H2 H 0.4314 0.3034 0.8025

***

[3]
# Cs6HI5 (PBE, optimized geometry)
# D(E_F), states/eV/cell: 0.00
# Space group: C2/m, No. 12
# Total DFT energy (no corrections), eV/atom: -2.61
data_Cs6HI5
_space_group_name_H-M_alt 'P 1'
_space_group_IT_number 1
_cell_length_a 6.5138
_cell_length_b 9.1824
_cell_length_c 11.2030
_cell_angle_alpha 114.17
_cell_angle_beta 106.86
_cell_angle_gamma 90.09
loop_
_space_group_symop_operation_xyz
'x,y,z'
loop_
_atom_site_label
_atom_site_type_symbol
_atom_site_fract_x
_atom_site_fract_y
_atom_site_fract_z
I1 I 0.3339 0.3339 0.6678
I2 I 0.6661 0.6661 0.3322
I3 I 0.3334 0.8334 0.6668
I4 I 0.6666 0.1666 0.3332
I5 I 0.0000 0.5000 0.0000
Cs1 Cs 0.8394 0.5971 0.6784
Cs2 Cs 0.5008 0.7604 0.0000
Cs3 Cs 0.1606 0.4029 0.3216
Cs4 Cs 0.4992 0.2396 0.0000
Cs5 Cs 0.8391 0.0814 0.6784
Cs6 Cs 0.1609 0.9186 0.3216
H1 H 0.0000 0.0000 0.0000

***

[4]
# Cs3H4I4 (PBE, optimized geometry)
# D(E_F), states/eV/cell: 1.87
# Space group: C2/m, No. 12
# Total DFT energy (no corrections), eV/atom: -2.79
data_Cs3H4I4
_space_group_name_H-M_alt 'P 1'
_space_group_IT_number 1
_cell_length_a 6.4913
_cell_length_b 7.3974
_cell_length_c 10.7234
_cell_angle_alpha 110.22
_cell_angle_beta 107.67
_cell_angle_gamma 89.86
loop_
_space_group_symop_operation_xyz
'x,y,z'
loop_
_atom_site_label
_atom_site_type_symbol
_atom_site_fract_x
_atom_site_fract_y
_atom_site_fract_z
Cs1 Cs 0.1817 0.1818 0.3635
Cs2 Cs 0.0000 0.5000 0.0000
Cs3 Cs 0.8183 0.8182 0.6365
H1 H 0.4022 0.3439 0.6879
H2 H 0.5978 0.6561 0.3121
H3 H 0.7143 0.6561 0.3121
H4 H 0.2857 0.3439 0.6879
I1 I 0.5007 0.2212 0.0000
I2 I 0.4993 0.7788 0.0000
I3 I 0.7942 0.2942 0.5885
I4 I 0.2058 0.7058 0.4115

***

[5]
# Cs2HI (PBE, optimized geometry)
# D(E_F), states/eV/cell: 0.00
# Space group: R-3m, No. 166
# Total DFT energy (no corrections), eV/atom: -2.48
data_Cs2HI
_space_group_name_H-M_alt 'P 1'
_space_group_IT_number 1
_cell_length_a 5.0205
_cell_length_b 5.0205
_cell_length_c 8.9292
_cell_angle_alpha 89.99
_cell_angle_beta 106.33
_cell_angle_gamma 120.02
loop_
_space_group_symop_operation_xyz
'x,y,z'
loop_
_atom_site_label
_atom_site_type_symbol
_atom_site_fract_x
_atom_site_fract_y
_atom_site_fract_z
I1 I 0.0000 0.5000 0.5000
Cs1 Cs 0.4706 0.7351 0.2057
Cs2 Cs 0.5295 0.2649 0.7943
H1 H 0.0000 0.0000 0.0000

***

[6]
# Cs2HI (PBE, optimized geometry)
# D(E_F), states/eV/cell: 0.00
# Space group: R3m, No. 160
# Total DFT energy (no corrections), eV/atom: -2.46
data_Cs2HI
_space_group_name_H-M_alt 'P 1'
_space_group_IT_number 1
_cell_length_a 4.9344
_cell_length_b 4.9344
_cell_length_c 9.1254
_cell_angle_alpha 74.31
_cell_angle_beta 74.31
_cell_angle_gamma 60.00
loop_
_space_group_symop_operation_xyz
'x,y,z'
loop_
_atom_site_label
_atom_site_type_symbol
_atom_site_fract_x
_atom_site_fract_y
_atom_site_fract_z
H1 H 0.6671 0.6671 0.9986
Cs1 Cs 0.2647 0.2647 0.2060
Cs2 Cs 0.0686 0.0686 0.7943
I1 I 0.4997 0.4997 0.5010

***

[7]
# CsHI2 (PBE, optimized geometry)
# D(E_F), states/eV/cell: 1.94
# Space group: R-3m, No. 166
# Total DFT energy (no corrections), eV/atom: -1.57
data_CsHI2
_space_group_name_H-M_alt 'P 1'
_space_group_IT_number 1
_cell_length_a 4.4188
_cell_length_b 4.4188
_cell_length_c 10.2186
_cell_angle_alpha 77.51
_cell_angle_beta 77.51
_cell_angle_gamma 60.00
loop_
_space_group_symop_operation_xyz
'x,y,z'
loop_
_atom_site_label
_atom_site_type_symbol
_atom_site_fract_x
_atom_site_fract_y
_atom_site_fract_z
H1 H 0.5000 0.5000 0.5000
I1 I 0.8830 0.8830 0.3511
I2 I 0.1170 0.1170 0.6489
Cs1 Cs 0.0000 0.0000 0.0000

***

[8]
# Cs3HI3 (PBE, optimized geometry)
# Space group: C2/m, No. 12
# Total DFT energy (no corrections), eV/atom: -2.47
data_Cs3HI3
_space_group_name_H-M_alt 'P 1'
_space_group_IT_number 1
_cell_length_a 9.5560
_cell_length_b 9.5560
_cell_length_c 9.9571
_cell_angle_alpha 90.08
_cell_angle_beta 90.08
_cell_angle_gamma 116.81
loop_
_space_group_symop_operation_xyz
'x,y,z'
loop_
_atom_site_label
_atom_site_type_symbol
_atom_site_fract_x
_atom_site_fract_y
_atom_site_fract_z
Cs1 Cs 0.1262 0.1262 0.7414
Cs2 Cs 0.8738 0.8738 0.2586
Cs3 Cs 0.5106 0.8803 0.7506
Cs4 Cs 0.1197 0.4894 0.2494
Cs5 Cs 0.4894 0.1197 0.2494
Cs6 Cs 0.8803 0.5106 0.7506
H1 H 0.8890 0.8890 0.9380
H2 H 0.1110 0.1110 0.0620
I1 I 0.4893 0.4893 0.7475
I2 I 0.5107 0.5107 0.2525
I3 I 0.8353 0.1647 0.0000
I4 I 0.1719 0.8281 0.5000
I5 I 0.1647 0.8353 0.0000
I6 I 0.8281 0.1719 0.5000